A plane-wave DFT calculation with PBE was carried out for a relaxed structure of KCuTe2Se4.

```
data_KCuTe2Se4
_cell_length_a 7.253
_cell_length_b 7.265
_cell_length_c 8.806
_cell_angle_alpha 90.00
_cell_angle_beta 90.00
_cell_angle_gamma 90.00
_space_group_name_H-M_alt 'I 2 2 2'
_space_group_IT_number 23
loop_
_space_group_symop_operation_xyz
'x,y,z'
'-x,-y,z'
'x,-y,-z'
'-x,y,-z'
'x+1/2,y+1/2,z+1/2'
'-x+1/2,-y+1/2,z+1/2'
'x+1/2,-y+1/2,-z+1/2'
'-x+1/2,y+1/2,-z+1/2'
loop_
_atom_site_label
_atom_site_fract_x
_atom_site_fract_y
_atom_site_fract_z
K1 0.000 0.000 0.000
Cu1 0.000 0.000 0.500
Te1 0.000 0.500 0.251
Se1 0.203 0.203 0.637
```

Crystal system: orthorhombic
M_tot (Bohr magnetons per cell): 0.00
ΔE_f (raw) (eV/atom): -0.274
E (eV/atom): -3.45

***

A plane-wave DFT calculation with PBE was carried out for a relaxed structure of KCuTe2Se6.

```
data_KCuTe2Se6
_cell_length_a 6.9603
_cell_length_b 6.9603
_cell_length_c 22.9005
_cell_angle_alpha 90.00
_cell_angle_beta 90.00
_cell_angle_gamma 120.00
_space_group_name_H-M_alt 'R 3'
_space_group_IT_number 146
_space_group_name_Hall 'R 3'
loop_
_atom_site_label
_atom_site_fract_x
_atom_site_fract_y
_atom_site_fract_z
K1 0.0000 0.0000 0.0000
Cu1 0.0000 0.0000 0.5231
Te1 0.0000 0.0000 0.2072
Te2 0.0000 0.0000 0.7494
Se1 0.0267 0.2591 0.4393
Se2 0.1063 0.7411 0.2598
```

Crystal system: trigonal
M_tot (Bohr magnetons per cell): 0.00
ΔE_f (raw) (eV/atom): -0.126
E (eV/atom): -3.36

***

A plane-wave DFT calculation with PBE was carried out for a relaxed structure of KCu4TeSe2.

```
data_KCu4TeSe2
_cell_length_a 4.006
_cell_length_b 4.006
_cell_length_c 10.414
_cell_angle_alpha 90.00
_cell_angle_beta 90.00
_cell_angle_gamma 90.00
_space_group_name_H-M_alt 'P 4/m m m'
_space_group_IT_number 123
_space_group_name_Hall '-P 4 2'
loop_
_atom_site_label
_atom_site_fract_x
_atom_site_fract_y
_atom_site_fract_z
K1 0.000 0.000 0.000
Cu1 0.000 0.500 0.324
Te1 0.000 0.000 0.500
Se1 0.500 0.500 0.190
```

Crystal system: tetragonal
M_tot (Bohr magnetons per cell): 0.00
ΔE_f (raw) (eV/atom): -0.354
E (eV/atom): -3.80